K2CeAg2Se4 | the Alexandria database | GGA-PBE | relaxed; ρ = 4.97 g/cm³; magnetization = 0.1 μB per formula unit; energy relative to the elements, uncorrected = -104.88 kJ/mol of atoms; total energy = -4.172 eV per atom; space-group type = C2/m
1.0
7.766 -2.151 0.000
7.766 2.151 0.000
-2.751 0.000 7.496
K Ce Ag Se
2 1 2 4
Direct
0.136 0.136 0.073 K
0.864 0.864 0.927 K
0.000 0.000 0.500 Ce
0.320 0.320 0.515 Ag
0.680 0.680 0.485 Ag
0.195 0.195 0.699 Se
0.491 0.491 0.741 Se
0.509 0.509 0.259 Se
0.805 0.805 0.301 Se